A plane-wave DFT calculation with GGA+U was carried out for crystalline VF5 at its relaxed geometry.

Lattice parameters (Å, degrees): 5.502 7.718 17.307 90.00 90.00 90.00
Sites, in units of the cell vectors:
F: 0.250 0.030 0.786
V: 0.250 0.045 0.359
F: 0.750 0.371 0.954
F: 0.484 0.975 0.915
F: 0.484 0.397 0.126
F: 0.500 0.729 0.160
F: 0.516 0.603 0.874
F: 0.000 0.729 0.160
F: 0.750 0.966 0.743
F: 0.000 0.771 0.660
F: 0.984 0.525 0.415
F: 0.984 0.103 0.626
F: 0.250 0.534 0.243
F: 0.750 0.970 0.214
V: 0.750 0.455 0.859
F: 0.016 0.475 0.585
V: 0.750 0.392 0.382
F: 0.016 0.897 0.374
F: 0.750 0.871 0.546
V: 0.750 0.955 0.641
F: 0.016 0.975 0.915
F: 0.750 0.466 0.757
F: 0.500 0.229 0.340
F: 0.750 0.470 0.286
F: 0.516 0.025 0.085
F: 0.516 0.525 0.415
V: 0.250 0.545 0.141
F: 0.516 0.103 0.626
F: 0.984 0.603 0.874
V: 0.750 0.892 0.118
F: 0.250 0.629 0.046
V: 0.250 0.608 0.618
F: 0.750 0.751 0.038
F: 0.000 0.271 0.840
F: 0.500 0.771 0.660
F: 0.484 0.475 0.585
F: 0.250 0.249 0.962
F: 0.984 0.025 0.085
F: 0.000 0.229 0.340
F: 0.500 0.271 0.840
F: 0.250 0.530 0.714
F: 0.016 0.397 0.126
F: 0.484 0.897 0.374
F: 0.750 0.251 0.462
V: 0.250 0.108 0.882
F: 0.250 0.749 0.538
F: 0.250 0.034 0.257
F: 0.250 0.129 0.454

Mass density: 2.6 Mg/m³
Total DFT energy (no corrections): -5.26 eV/atom